[1]
An optimized crystal structure of ZrPd2BrCl. Source: Alexandria, functional GGA-PBEsol.

Output
Its formation energy without anion corrections is 358 meV/atom. The density of states at the Fermi level is 0.717 states/eV/atom. The calculation puts the total energy at -4.619 eV/atom.

Geometry as POSCAR:
```
ZrPd2BrCl
1.0
4.6305 0.0000 0.0000
0.0000 4.6305 0.0000
0.0000 0.0000 5.0696
Br Zr Pd Cl
1 1 2 1
direct
0.0000 0.0000 0.0000
0.0000 0.0000 0.5000
0.0000 0.5000 0.0000
0.5000 0.0000 0.0000
0.5000 0.5000 0.5000
```

[2]
An optimized crystal structure of PrBrCl2. Source: Alexandria, functional GGA-PBEsol.

Output
Its formation energy without anion corrections is -2190 meV/atom. The density of states at the Fermi level is 0.000 states/eV/atom. The calculation puts the total energy at -4.957 eV/atom.

Geometry as POSCAR:
```
PrBrCl2
1.0
4.2854 0.0000 0.0000
0.0000 7.4657 0.0153
0.0000 -3.6463 6.6144
Pr Br Cl
2 2 4
direct
0.0000 0.6610 0.3282
0.5000 0.3312 0.6615
0.0000 0.6355 0.9138
0.0000 0.0789 0.7168
0.0000 0.2991 0.3901
0.5000 0.3975 0.0861
0.5000 0.9175 0.3137
0.5000 0.6793 0.5899
```

[3]
An optimized crystal structure of PtBr2Cl. Source: Alexandria, functional GGA-PBEsol.

Output
Its formation energy without anion corrections is 92 meV/atom. The density of states at the Fermi level is 1.776 states/eV/atom. The calculation puts the total energy at -3.086 eV/atom. For the energy relative to the lowest polymorph listed for this composition, the calculation gives 307 meV per atom.

Geometry as POSCAR:
```
PtBr2Cl
1.0
3.5894 0.0000 0.0000
-1.7947 3.6820 0.0000
0.0000 0.0000 7.9306
Br Pt Cl
2 1 1
direct
0.0000 0.0000 0.7939
0.0000 0.0000 0.2061
0.5000 0.0000 0.0000
0.5000 0.0000 0.5000
```

[4]
An optimized crystal structure of Pt2BrCl. Source: Alexandria, functional GGA-PBEsol.

Output
Its formation energy without anion corrections is 570 meV/atom. The density of states at the Fermi level is 0.572 states/eV/atom. The calculation puts the total energy at -3.881 eV/atom. For the energy relative to the lowest polymorph listed for this composition, the calculation gives 790 meV per atom.

Geometry as POSCAR:
```
Pt2BrCl
1.0
-0.9089 -1.1035 3.1678
0.9979 -3.0499 -2.6825
4.8212 1.7042 1.9769
Br Pt Cl
1 2 1
direct
0.0000 0.0000 0.5000
0.7448 0.4896 0.7672
0.2552 0.5104 0.2328
0.5000 0.0000 0.0000
```

[5]
An optimized crystal structure of PtBrCl3. Source: Alexandria, functional GGA-PBEsol.

Output
Its formation energy without anion corrections is 1094 meV/atom. The density of states at the Fermi level is 2.368 states/eV/atom. The calculation puts the total energy at -1.877 eV/atom.

Geometry as POSCAR:
```
PtBrCl3
1.0
5.0165 0.0000 0.0000
0.0000 5.0165 0.0000
0.0000 0.0000 5.0165
Br Pt Cl
1 1 3
direct
0.0000 0.0000 0.0000
0.5000 0.5000 0.5000
0.0000 0.5000 0.0000
0.0000 0.0000 0.5000
0.5000 0.0000 0.0000
```

[6]
An optimized crystal structure of Pt2BrCl. Source: Alexandria, functional GGA-PBEsol.

Output
Its formation energy without anion corrections is 391 meV/atom. The density of states at the Fermi level is 1.524 states/eV/atom. The calculation puts the total energy at -4.060 eV/atom. For the energy relative to the lowest polymorph listed for this composition, the calculation gives 610 meV per atom.

Geometry as POSCAR:
```
Pt2BrCl
1.0
3.1281 0.0000 0.0000
0.0000 3.1281 0.0000
0.0000 0.0000 7.6478
Br Pt Cl
1 2 1
direct
0.0000 0.0000 0.4442
0.0000 0.0000 0.0198
0.5000 0.5000 0.2233
0.5000 0.5000 0.8127
```

[7]
An optimized crystal structure of Pt2BrCl. Source: Alexandria, functional GGA-PBEsol.

Output
Its formation energy without anion corrections is 820 meV/atom. The density of states at the Fermi level is 1.067 states/eV/atom. The calculation puts the total energy at -3.632 eV/atom. For the energy relative to the lowest polymorph listed for this composition, the calculation gives 1039 meV per atom.

Geometry as POSCAR:
```
Pt2BrCl
1.0
4.5464 0.0000 0.0000
-2.2732 3.9769 -0.0406
0.0000 -2.5604 3.7569
Br Pt Cl
1 2 1
direct
0.5000 0.0000 0.5000
0.7500 0.5000 0.2500
0.2500 0.5000 0.7500
0.0000 0.0000 0.0000
```

[8]
An optimized crystal structure of Pt2BrCl. Source: Alexandria, functional GGA-PBEsol.

Output
Its formation energy without anion corrections is -219 meV/atom. The calculation puts the total energy at -4.670 eV/atom. For the energy relative to the lowest polymorph listed for this composition, the calculation gives 0 meV per atom.

Geometry as POSCAR:
```
Pt2BrCl
1.0
-2.6386 -0.9517 2.3167
-2.4170 -2.5498 -0.9440
2.6350 -6.3030 3.2682
Pt Br Cl
2 1 1
direct
0.0065 0.0065 0.9805
0.7401 0.7401 0.7797
0.4722 0.4722 0.5833
0.2812 0.2812 0.1565
```

[9]
An optimized crystal structure of PtBr2Cl. Source: Alexandria, functional GGA-PBEsol.

Output
Its formation energy without anion corrections is 481 meV/atom. The density of states at the Fermi level is 1.309 states/eV/atom. The calculation puts the total energy at -2.697 eV/atom. For the energy relative to the lowest polymorph listed for this composition, the calculation gives 696 meV per atom.

Geometry as POSCAR:
```
PtBr2Cl
1.0
2.9915 0.0000 0.0000
0.0000 3.1982 0.0000
0.0000 0.0000 9.6958
Br Pt Cl
2 1 1
direct
0.0000 0.0000 0.9191
0.5000 0.5000 0.2502
0.5000 0.5000 0.7451
0.0000 0.0000 0.5855
```

[10]
An optimized crystal structure of PtBr2Cl. Source: Alexandria, functional GGA-PBEsol.

Output
Its formation energy without anion corrections is 799 meV/atom. The density of states at the Fermi level is 1.208 states/eV/atom. The calculation puts the total energy at -2.378 eV/atom. For the energy relative to the lowest polymorph listed for this composition, the calculation gives 1014 meV per atom.

Geometry as POSCAR:
```
PtBr2Cl
1.0
4.7843 0.0000 0.0000
2.3921 4.1433 0.0000
2.3921 1.3811 3.9064
Br Pt Cl
2 1 1
direct
0.0000 0.0000 0.0000
0.2500 0.2500 0.2500
0.7500 0.7500 0.7500
0.5000 0.5000 0.5000
```

[11]
An optimized crystal structure of PtBr2Cl. Source: Alexandria, functional GGA-PBEsol.

Output
Its formation energy without anion corrections is -215 meV/atom. The density of states at the Fermi level is 0.497 states/eV/atom. The calculation puts the total energy at -3.392 eV/atom. For the energy relative to the lowest polymorph listed for this composition, the calculation gives 0 meV per atom.

Geometry as POSCAR:
```
PtBr2Cl
1.0
-2.4408 -0.5574 2.5792
-2.1773 -3.8242 -2.8870
4.5289 -1.8858 3.8784
Br Pt Cl
2 1 1
direct
0.0000 0.1038 0.2076
0.5000 0.7591 0.5181
0.5000 0.2511 0.5022
0.0000 0.3860 0.7721
```

[12]
An optimized crystal structure of Rb2BrCl. Source: Alexandria, functional GGA-PBEsol.

Output
Its formation energy without anion corrections is -1790 meV/atom. The density of states at the Fermi level is 0.000 states/eV/atom. The calculation puts the total energy at -3.272 eV/atom. For the energy relative to the lowest polymorph listed for this composition, the calculation gives 0 meV per atom.

Geometry as POSCAR:
```
Rb2BrCl
1.0
5.6392 0.0000 0.0000
2.8196 4.8837 0.0000
2.8196 1.6279 4.6044
Rb Br Cl
2 1 1
direct
0.2500 0.2500 0.2500
0.7500 0.7500 0.7500
0.5000 0.5000 0.5000
0.0000 0.0000 0.0000
```

[13]
An optimized crystal structure of RbBrCl3. Source: Alexandria, functional GGA-PBEsol.

Output
Its formation energy without anion corrections is -841 meV/atom. The density of states at the Fermi level is 0.000 states/eV/atom. The calculation puts the total energy at -2.625 eV/atom.

Geometry as POSCAR:
```
RbBrCl3
1.0
5.2827 -0.0274 -0.0998
1.5456 6.9038 -0.1055
0.1015 1.3772 8.7881
Br Rb Cl
2 2 6
direct
0.0507 0.5925 0.9805
0.3464 0.4078 0.3999
0.3119 0.9273 0.2361
0.8068 0.2849 0.7176
0.9714 0.6325 0.4388
0.3295 0.7767 0.7612
0.3017 0.2767 0.9417
0.5239 0.9283 0.5986
0.7434 0.1572 0.3751
0.8125 0.9081 0.0133
```

[14]
An optimized crystal structure of Rb2BrCl. Source: Alexandria, functional GGA-PBEsol.

Output
Its formation energy without anion corrections is -1727 meV/atom. The density of states at the Fermi level is 0.000 states/eV/atom. The calculation puts the total energy at -3.209 eV/atom. For the energy relative to the lowest polymorph listed for this composition, the calculation gives 63 meV per atom.

Geometry as POSCAR:
```
Rb2BrCl
1.0
-7.3612 -3.8925 -1.5436
3.8074 -7.5213 0.8094
0.7857 5.7123 5.0801
Rb Br Cl
4 2 2
direct
0.8596 0.3750 0.2500
0.3904 0.8750 0.2500
0.6250 0.6096 0.7500
0.1250 0.1404 0.7500
0.2500 0.7500 0.5000
0.0000 0.0000 0.0000
0.7500 0.2500 0.5000
0.5000 0.5000 0.0000
```

[15]
An optimized crystal structure of RbScBr2Cl. Source: Alexandria, functional GGA-PBEsol.

Output
Its formation energy without anion corrections is -33 meV/atom. The density of states at the Fermi level is 1.248 states/eV/atom. The calculation puts the total energy at -2.709 eV/atom.

Geometry as POSCAR:
```
RbScBr2Cl
1.0
5.4703 0.0000 0.0000
0.0000 5.9869 0.0000
0.0000 0.0000 5.9869
Sc Br Rb Cl
1 2 1 1
direct
0.5000 0.5000 0.5000
0.0000 0.0000 0.5000
0.0000 0.5000 0.0000
0.5000 0.0000 0.0000
0.0000 0.0000 0.0000
```

[16]
An optimized crystal structure of Re3BrCl. Source: Alexandria, functional GGA-PBEsol.

Output
Its formation energy without anion corrections is 2359 meV/atom. The density of states at the Fermi level is 1.441 states/eV/atom. The calculation puts the total energy at -6.416 eV/atom. For the energy relative to the lowest polymorph listed for this composition, the calculation gives 0 meV per atom.

Geometry as POSCAR:
```
Re3BrCl
1.0
-3.8252 2.1668 0.0780
-1.3594 -2.2734 -3.5096
-1.6891 -3.0773 2.6477
Re Br Cl
3 1 1
direct
0.0000 0.5000 0.0000
0.0000 0.0000 0.5000
0.5000 0.0000 0.0000
0.5000 0.5000 0.5000
0.0000 0.0000 0.0000
```

[17]
An optimized crystal structure of Re2BrCl. Source: Alexandria, functional GGA-PBEsol.

Output
Its formation energy without anion corrections is 1592 meV/atom. The density of states at the Fermi level is 1.053 states/eV/atom. The calculation puts the total energy at -6.043 eV/atom. For the energy relative to the lowest polymorph listed for this composition, the calculation gives 1501 meV per atom.

Geometry as POSCAR:
```
Re2BrCl
1.0
2.9239 0.0000 0.0000
0.0000 3.9923 0.0000
0.0000 0.0000 6.2158
Re Br Cl
2 1 1
direct
0.0000 0.0000 0.6798
0.0000 0.0000 0.3202
0.5000 0.5000 0.0000
0.5000 0.5000 0.5000
```

[18]
An optimized crystal structure of Re2BrCl. Source: Alexandria, functional GGA-PBEsol.

Output
Its formation energy without anion corrections is 1288 meV/atom. The density of states at the Fermi level is 1.411 states/eV/atom. The calculation puts the total energy at -6.347 eV/atom. For the energy relative to the lowest polymorph listed for this composition, the calculation gives 1197 meV per atom.

Geometry as POSCAR:
```
Re2BrCl
1.0
-0.5873 -0.7284 -2.6388
2.8281 0.0361 0.8459
-0.6344 -8.4857 2.4834
Re Br Cl
2 1 1
direct
0.0000 0.0000 0.7575
0.0000 0.0000 0.2425
0.5000 0.0000 0.5000
0.5000 0.0000 0.0000
```

[19]
An optimized crystal structure of Re2BrCl. Source: Alexandria, functional GGA-PBEsol.

Output
Its formation energy without anion corrections is 1599 meV/atom. The density of states at the Fermi level is 0.825 states/eV/atom. The calculation puts the total energy at -6.036 eV/atom. For the energy relative to the lowest polymorph listed for this composition, the calculation gives 1508 meV per atom.

Geometry as POSCAR:
```
Re2BrCl
1.0
-1.5857 -1.1872 2.3735
0.6310 -2.8543 -1.0061
5.1965 -0.0637 3.4399
Re Br Cl
2 1 1
direct
0.0000 0.0000 0.7286
0.0000 0.0000 0.2714
0.5000 0.5000 0.0000
0.5000 0.5000 0.5000
```

[20]
An optimized crystal structure of Re2BrCl. Source: Alexandria, functional GGA-PBEsol.

Output
Its formation energy without anion corrections is 1009 meV/atom. The density of states at the Fermi level is 0.773 states/eV/atom. The calculation puts the total energy at -6.626 eV/atom. For the energy relative to the lowest polymorph listed for this composition, the calculation gives 918 meV per atom.

Geometry as POSCAR:
```
Re2BrCl
1.0
3.7137 0.0000 0.0402
0.0000 4.3300 0.0000
-0.4139 0.0000 4.8146
Re Br Cl
2 1 1
direct
0.7164 0.0000 0.8424
0.2836 0.0000 0.1577
0.5000 0.5000 0.5000
0.0000 0.5000 0.0000
```